The following is a PBE calculation of TaHgIN2 after structural relaxation, from Alexandria via LeMat-Bulk.

The structure belongs to space group P4/mmm (No. 123); the cell edges are 4.1781, 4.1781 and 5.7692 Å and the angles 90.00°, 90.00° and 90.00°. The inequivalent atoms are Ta at (0.0000, 0.0000, 0.0000), Hg at (0.5000, 0.5000, 0.5000), I at (0.5000, 0.5000, 0.0000) and N at (0.0000, 0.5000, 0.5000).

The following is a PBE calculation of TcHgIN2 after structural relaxation, from Alexandria via LeMat-Bulk.

The structure belongs to space group P4/mmm (No. 123); the cell edges are 4.0646, 4.0646 and 6.4348 Å and the angles 90.00°, 90.00° and 90.00°. The inequivalent atoms are Tc at (0.0000, 0.0000, 0.0000), Hg at (0.5000, 0.5000, 0.0000), I at (0.5000, 0.5000, 0.5000) and N at (0.0000, 0.5000, 0.5000).

| no. | ρ (Mg/m³) | total DFT energy (no corrections) (eV/f.u.) | offset from the most stable computed form (meV/atom) |
| --- | --- | --- | --- |
| 1 | 8.8 | -17.6 | 2157 |
| 2 | 7.1 | -17.0 | 1579 |